Record 1
A plane-wave DFT calculation with PBE was carried out for Mo2RhSe after structural relaxation.

abc: 4.8450 4.8450 4.7013
angles: 75.41 75.41 35.69
Fractional coordinates of all 4 atoms:
Mo (0.9851, 0.9851, 0.0726)
Mo (0.7619, 0.7619, 0.6839)
Rh (0.5032, 0.5032, 0.5521)
Se (0.2498, 0.2498, 0.1914)

Computed properties:
For the energy relative to the elements, uncorrected, the calculation gives 75 meV per atom. As for the space group: Cm, No. 8. The final energy comes out at -8.049 eV/atom. Its total moment is 0.0 μB per formula unit.

***

Record 2
A plane-wave DFT calculation with PBE was carried out for Be2WBr after structural relaxation.

abc: 4.8613 4.8613 4.8613
angles: 135.96 135.96 64.05
Fractional coordinates of all 4 atoms:
Be (0.0000, 0.0000, 0.0000)
Be (0.5000, 0.5000, 0.0000)
Br (0.2500, 0.7500, 0.5000)
W (0.7500, 0.2500, 0.5000)

Computed properties:
For the energy relative to the elements, uncorrected, the calculation gives 1210 meV per atom. As for the space group: I4/mmm, No. 139. The final energy comes out at -4.310 eV/atom. Its total moment is 0.0 μB per formula unit.

***

Record 3
A plane-wave DFT calculation with PBE was carried out for HfIrSe2 after structural relaxation.

abc: 4.5692 4.5692 8.5201
angles: 74.45 74.45 90.00
Fractional coordinates of all 8 atoms:
Ir (0.0000, 0.0000, 0.0000)
Ir (0.7500, 0.2500, 0.5000)
Hf (0.5000, 0.5000, 0.0000)
Hf (0.2500, 0.7500, 0.5000)
Se (0.6437, 0.1250, 0.2500)
Se (0.1063, 0.6250, 0.2500)
Se (0.3750, 0.3563, 0.7500)
Se (0.8750, 0.8937, 0.7500)

Computed properties:
For the energy relative to the elements, uncorrected, the calculation gives -353 meV per atom. As for the space group: I-42d, No. 122. The final energy comes out at -6.799 eV/atom. Its total moment is 0.0 μB per formula unit.

***

Record 4
A plane-wave DFT calculation with PBE was carried out for Ce3TlH3 after structural relaxation.

abc: 6.4374 6.4374 6.4374
angles: 90.00 90.00 90.00
Each line ends with the local moment (μB).
Fractional coordinates of all 14 atoms:
H (0.2500, 0.0000, 0.5000)  -0.01
H (0.0000, 0.5000, 0.2500)  -0.01
H (0.5000, 0.7500, 0.0000)  -0.01
H (0.7500, 0.0000, 0.5000)  -0.01
H (0.0000, 0.5000, 0.7500)  -0.01
H (0.5000, 0.2500, 0.0000)  -0.01
Tl (0.5000, 0.5000, 0.5000)  -0.05
Tl (0.0000, 0.0000, 0.0000)  -0.05
Ce (0.0000, 0.2500, 0.5000)  1.01
Ce (0.0000, 0.7500, 0.5000)  1.01
Ce (0.5000, 0.0000, 0.7500)  1.01
Ce (0.7500, 0.5000, 0.0000)  1.01
Ce (0.5000, 0.0000, 0.2500)  1.01
Ce (0.2500, 0.5000, 0.0000)  1.01

Computed properties:
As for the space group: Pm-3n, No. 223. The final energy comes out at -4.681 eV/atom. Its total moment is 3.9 μB per formula unit.

***

Record 5
A plane-wave DFT calculation with PBE was carried out for SrLi3La after structural relaxation.

abc: 5.7443 5.7443 5.7443
angles: 90.00 90.00 90.00
Each line ends with the local moment (μB).
Fractional coordinates of all 5 atoms:
Sr (0.5000, 0.5000, 0.5000)  0.00
Li (0.0000, 0.5000, 0.0000)  0.03
Li (0.0000, 0.0000, 0.5000)  0.03
Li (0.5000, 0.0000, 0.0000)  0.03
La (0.0000, 0.0000, 0.0000)  0.60

Computed properties:
As for the space group: Pm-3m, No. 221. The final energy comes out at -1.779 eV/atom. Its total moment is 1.6 μB per formula unit. As for the calculated formation energy: 691 meV per atom.